# 1
DFT (PBE) results for crystalline Dy5ErPb6 at its relaxed geometry.

Summary:
Its formation enthalpy at 0 K is -0.428 eV/atom. Its calculated volume is 352.1 Å³/cell.

Lattice parameters (Å, degrees): 8.666 6.106 8.224 68.21 79.50 60.61
Fractional coordinates of all 12 atoms:
Pb1 0.752 0.082 0.332
Pb2 0.248 0.586 0.332
Pb3 0.252 0.245 0.000
Pb4 0.748 0.755 0.000
Pb5 0.752 0.414 0.668
Pb6 0.248 0.918 0.668
Dy1 0.500 0.168 0.664
Dy2 0.000 0.334 0.331
Dy3 0.000 0.666 0.669
Dy4 0.500 0.500 0.000
Dy5 0.500 0.832 0.336
Er1 0.000 0.000 0.000

# 2
DFT (PBE) results for crystalline DyEr3Pb12 at its relaxed geometry.

Summary:
Its formation enthalpy at 0 K is -0.254 eV/atom. Its calculated volume is 462.3 Å³/cell.

Lattice parameters (Å, degrees): 4.907 4.907 19.199 90.00 90.00 90.00
Fractional coordinates of all 16 atoms:
Pb1 0.500 0.500 0.750
Pb2 0.500 0.500 0.000
Pb3 0.500 0.000 0.126
Pb4 0.500 0.000 0.375
Pb5 0.500 0.500 0.250
Pb6 0.000 0.500 0.874
Pb7 0.500 0.500 0.500
Pb8 0.000 0.500 0.375
Pb9 0.500 0.000 0.874
Pb10 0.000 0.500 0.126
Pb11 0.000 0.500 0.625
Pb12 0.500 0.000 0.625
Dy1 0.000 0.000 0.000
Er1 0.000 0.000 0.750
Er2 0.000 0.000 0.250
Er3 0.000 0.000 0.500

# 3
DFT (PBE) results for crystalline DyEr3Pb at its relaxed geometry.

Summary:
Its formation enthalpy at 0 K is -0.137 eV/atom. Its calculated volume is 609.0 Å³/cell.

Lattice parameters (Å, degrees): 8.501 8.911 9.426 121.46 90.00 90.00
Fractional coordinates of all 20 atoms:
Pb1 0.750 0.097 0.546
Pb2 0.250 0.903 0.954
Pb3 0.750 0.097 0.046
Pb4 0.250 0.903 0.454
Er1 0.564 0.716 0.430
Er2 0.064 0.284 0.070
Er3 0.936 0.716 0.930
Er4 0.086 0.090 0.296
Er5 0.808 0.424 0.461
Er6 0.308 0.576 0.039
Er7 0.692 0.424 0.961
Er8 0.192 0.576 0.539
Er9 0.436 0.284 0.570
Er10 0.586 0.910 0.204
Er11 0.414 0.090 0.796
Er12 0.914 0.910 0.704
Dy1 0.563 0.708 0.788
Dy2 0.063 0.292 0.712
Dy3 0.437 0.292 0.212
Dy4 0.937 0.708 0.288

# 4
DFT (PBE) results for crystalline DyEr7Pb4 at its relaxed geometry.

Summary:
Its formation enthalpy at 0 K is -0.039 eV/atom. Its calculated volume is 362.3 Å³/cell.

Lattice parameters (Å, degrees): 5.737 10.200 7.073 80.14 66.07 73.67
Fractional coordinates of all 12 atoms:
Er1 0.342 0.570 0.745
Er2 0.658 0.430 0.255
Er3 0.041 0.626 0.291
Er4 0.959 0.374 0.709
Er5 0.786 0.900 0.529
Er6 0.214 0.100 0.471
Er7 0.500 0.000 0.000
Pb1 0.414 0.784 0.389
Pb2 0.710 0.678 0.901
Pb3 0.586 0.216 0.611
Pb4 0.290 0.322 0.099
Dy1 0.000 0.000 0.000

# 5
DFT (PBE) results for crystalline Dy4Er4Pb at its relaxed geometry.

Summary:
Its formation enthalpy at 0 K is -0.086 eV/atom. Its calculated volume is 272.9 Å³/cell.

Lattice parameters (Å, degrees): 4.807 7.909 7.909 84.70 72.31 72.31
Fractional coordinates of all 9 atoms:
Er1 0.662 0.338 0.338
Er2 0.000 0.662 0.338
Er3 0.338 0.662 0.662
Er4 0.000 0.338 0.662
Dy1 0.663 0.000 0.675
Dy2 0.337 0.000 0.325
Dy3 0.663 0.675 0.000
Dy4 0.337 0.325 0.000
Pb1 0.000 0.000 0.000

# 6
DFT (PBE) results for crystalline Dy2Er3Pb2 at its relaxed geometry.

Summary:
Its formation enthalpy at 0 K is -0.298 eV/atom. Its calculated volume is 212.0 Å³/cell.

Lattice parameters (Å, degrees): 4.458 6.360 8.466 108.19 90.00 110.52
Fractional coordinates of all 7 atoms:
Er1 0.624 0.248 0.437
Er2 0.500 0.000 0.000
Er3 0.376 0.752 0.563
Pb1 0.825 0.650 0.807
Pb2 0.175 0.350 0.193
Dy1 0.129 0.257 0.777
Dy2 0.871 0.743 0.223

| no. | uncorrected energy (eV per atom) |
| --- | --- |
| 1 | -4.58 |
| 2 | -4.18 |
| 3 | -4.54 |
| 4 | -4.32 |
| 5 | -4.57 |
| 6 | -4.63 |